Material: RbIF4
Method: DFT, PBE
State: optimized geometry

```
data_RbIF4
_chemical_formula_sum 'Rb2 I2 F8'
_cell_length_a 8.250
_cell_length_b 8.250
_cell_length_c 6.921
_cell_angle_alpha 90.00
_cell_angle_beta 90.00
_cell_angle_gamma 149.75
_space_group_name_H-M_alt 'P 1'
_space_group_IT_number 1
loop_
_space_group_symop_operation_xyz
'x,y,z'
loop_
_atom_site_label
_atom_site_fract_x
_atom_site_fract_y
_atom_site_fract_z
_atom_site_occupancy
Rb1 0.060 0.940 0.750 1
Rb2 0.940 0.060 0.250 1
I1 0.331 0.669 0.750 1
I2 0.669 0.331 0.250 1
F1 0.146 0.854 0.250 1
F2 0.322 0.678 0.040 1
F3 0.322 0.678 0.460 1
F4 0.500 0.500 0.000 1
F5 0.500 0.500 0.500 1
F6 0.678 0.322 0.540 1
F7 0.678 0.322 0.960 1
F8 0.854 0.146 0.750 1
```

Summary:
Total magnetic moment (μB/f.u.): 0.272
DOS(E_F) (states/eV/cell): 6.946
E (eV per atom): -3.363